(1)
Below is a geometry-optimized RbYAuSe3 structure, with properties calculated at the PBE level.

Calculated values
Its symmetry is No. 62.

Unit cell a=15.453 b=4.126 c=10.989 alpha=90.00 beta=90.00 gamma=90.00
Element x y z (fractional)
Rb 0.236 0.250 0.040
Rb 0.264 0.750 0.540
Rb 0.736 0.250 0.460
Rb 0.764 0.750 0.960
Y 0.024 0.250 0.342
Y 0.476 0.750 0.842
Y 0.524 0.250 0.158
Y 0.976 0.750 0.658
Au 0.017 0.750 0.106
Au 0.483 0.250 0.606
Au 0.517 0.750 0.394
Au 0.983 0.250 0.894
Se 0.088 0.750 0.878
Se 0.093 0.250 0.580
Se 0.142 0.750 0.262
Se 0.358 0.250 0.762
Se 0.407 0.750 0.080
Se 0.412 0.250 0.378
Se 0.588 0.750 0.622
Se 0.593 0.250 0.920
Se 0.642 0.750 0.238
Se 0.858 0.250 0.738
Se 0.907 0.750 0.420
Se 0.912 0.250 0.122

---

(2)
Below is a geometry-optimized RbYAuSe3 structure, with properties calculated at the PBE level.

Calculated values
Its symmetry is No. 63.

Unit cell a=8.119 b=8.119 c=10.687 alpha=90.00 beta=90.00 gamma=150.87
Element x y z (fractional)
Rb 0.247 0.753 0.750
Rb 0.753 0.247 0.250
Y 0.000 0.000 0.000
Y 0.000 0.000 0.500
Au 0.465 0.535 0.250
Au 0.535 0.465 0.750
Se 0.073 0.927 0.250
Se 0.374 0.626 0.048
Se 0.374 0.626 0.452
Se 0.626 0.374 0.548
Se 0.626 0.374 0.952
Se 0.927 0.073 0.750

---

Calculated VASP energy (eV per atom), listed in the same order as above: -4.63, -4.64
Calculated density (Mg/m³), listed in the same order as above: 5.77, 5.89